1.
A geometry-optimized NbAlV2 structure. Source: Alexandria, functional PBE.

Values from the calculation:
The value obtained for the formation energy from the elements is 23 meV/atom.

Cell lengths 4.7791, 5.1298, 5.2322 Å; angles 90.00, 103.76, 90.00 degrees
Closest atoms and distances in Å follow each position.
Space group P2_1/m (No. 11)
Symmetry-distinct sites (fractional):
Nb: 0.0340 0.2500 0.1442 [2 per cell]  4 Al 2.64-2.82, 4 V 2.70-2.85
Al: 0.0785 0.7500 0.3742 [2 per cell]  4 Nb 2.64-2.82, 6 V 2.66-2.78
V: 0.4552 0.0027 0.7468 [4 per cell]  4 V 2.54-2.72, 3 Al 2.66-2.78, 1 Nb 2.70

2.
A geometry-optimized NaTi2BeZn structure. Source: Alexandria, functional PBE.

Values from the calculation:
The value obtained for the formation energy from the elements is 561 meV/atom.

Cell lengths 4.5662, 4.5662, 4.2934 Å; angles 90.00, 90.00, 90.00 degrees
Closest atoms and distances in Å follow each position.
Space group P4/mmm (No. 123)
Symmetry-distinct sites (fractional):
Na: 0.0000 0.0000 0.0000 [1 per cell]  8 Ti 3.13, 4 Zn 3.23
Ti: 0.0000 0.5000 0.5000 [2 per cell]  2 Be 2.28
Be: 0.5000 0.5000 0.5000 [1 per cell]  2 Zn 2.15, 4 Ti 2.28
Zn: 0.5000 0.5000 0.0000 [1 per cell]  2 Be 2.15

3.
A geometry-optimized PuThCuTc structure. Source: Alexandria, functional PBE.

Values from the calculation:
The value obtained for the formation energy from the elements is 37 meV/atom.

Cell lengths 6.9916, 6.9916, 6.9916 Å; angles 90.00, 90.00, 90.00 degrees
Closest atoms and distances in Å follow each position.
Space group F-43m (No. 216)
Symmetry-distinct sites (fractional):
Pu: 0.0000 0.0000 0.0000 [4 per cell]  4 Tc 3.03, 4 Cu 3.03
Th: 0.0000 0.0000 0.5000 [4 per cell]  4 Tc 3.03, 4 Cu 3.03
Cu: 0.2500 0.2500 0.7500 [4 per cell]  4 Th 3.03, 4 Pu 3.03
Tc: 0.2500 0.2500 0.2500 [4 per cell]  4 Th 3.03, 4 Pu 3.03

4.
A geometry-optimized PrDy2PuN4 structure. Source: Alexandria, functional PBE.

Values from the calculation:
The uncorrected formation energy comes out at -11.62 eV per formula unit.

Cell lengths 6.0983, 3.5329, 6.1048 Å; angles 90.00, 109.34, 90.00 degrees
Closest atoms and distances in Å follow each position.
Space group P2/m (No. 10)
Symmetry-distinct sites (fractional):
Pr: 0.0000 0.0000 0.0000 [1 per cell]  6 N 2.54-2.55
Dy: 0.5000 0.0000 0.5000 [1 per cell]  6 N 2.43-2.45
Dy: 0.5000 0.5000 0.0000 [1 per cell]  6 N 2.53-2.54
Pu: 0.0000 0.5000 0.5000 [1 per cell]  6 N 2.44-2.47
N: 0.2496 0.0000 0.7386 [2 per cell]  3 Dy 2.43-2.53, 2 Pu 2.47, 1 Pr 2.54
N: 0.2558 0.5000 0.2649 [2 per cell]  1 Pu 2.44, 3 Dy 2.45-2.54, 2 Pr 2.55

5.
A geometry-optimized Sm3Al5Zn6 structure. Source: Alexandria, functional PBE.

Values from the calculation:
The value obtained for the formation energy from the elements is -392 meV/atom.

Cell lengths 4.3112, 12.6745, 9.7909 Å; angles 90.00, 90.00, 90.00 degrees
Closest atoms and distances in Å follow each position.
Space group Pmmn (No. 59, origin choice 2)
Symmetry-distinct sites (fractional):
Sm: 0.2500 0.0592 0.2490 [4 per cell]  7 Zn 3.13-3.47, 7 Al 3.15-3.40
Sm: 0.2500 0.7500 0.2478 [2 per cell]  6 Zn 3.21-3.22, 6 Al 3.24
Al: 0.2500 0.0895 0.8850 [4 per cell]  5 Zn 2.56-2.69
Al: 0.2500 0.6069 0.5218 [4 per cell]  5 Zn 2.59-2.82, 1 Al 2.87
Al: 0.2500 0.7500 0.7489 [2 per cell]  6 Zn 2.80-2.96, 2 Al 2.87
Zn: 0.2500 0.0916 0.6232 [4 per cell]  4 Al 2.56-2.70, 1 Zn 2.57
Zn: 0.2500 0.2500 0.0460 [2 per cell]  2 Al 2.57, 4 Zn 2.78
Zn: 0.2500 0.2500 0.4586 [2 per cell]  2 Zn 2.57, 4 Al 2.82
Zn: 0.2500 0.6119 0.9722 [4 per cell]  4 Al 2.59-2.80, 2 Zn 2.78

6.
A geometry-optimized SrTa2Cr structure. Source: Alexandria, functional PBE.

Values from the calculation:
The value obtained for the formation energy from the elements is 1046 meV/atom. The calculation puts the excess energy over the best structure of this formula in the dataset at 0.457 eV per atom.

Cell lengths 5.6720, 10.5167, 2.9139 Å; angles 90.00, 106.65, 90.00 degrees
Closest atoms and distances in Å follow each position.
Space group C2/m (No. 12)
Symmetry-distinct sites (fractional):
Sr: 0.0000 0.0000 0.0000 [2 per cell]  2 Cr 2.84, 2 Sr 2.91, 4 Ta 3.14
Ta: 0.2500 0.2500 0.5000 [4 per cell]  4 Ta 2.84-2.91, 2 Cr 3.14, 2 Sr 3.14
Cr: 0.0000 0.5000 0.0000 [2 per cell]  2 Sr 2.84, 2 Cr 2.91, 4 Ta 3.14

7.
A geometry-optimized ZnSiPd2 structure. Source: Alexandria, functional PBE.

Values from the calculation:
The uncorrected formation energy comes out at -1.85 eV per formula unit.

Cell lengths 3.0069, 3.0069, 6.3647 Å; angles 90.00, 90.00, 90.00 degrees
Closest atoms and distances in Å follow each position.
Space group P4/mmm (No. 123)
Symmetry-distinct sites (fractional):
Zn: 0.0000 0.0000 0.0000 [1 per cell]  8 Pd 2.74, 4 Zn 3.01
Si: 0.0000 0.0000 0.5000 [1 per cell]  8 Pd 2.58
Pd: 0.5000 0.5000 0.2709 [2 per cell]  4 Si 2.58, 4 Zn 2.74

8.
A geometry-optimized Zr4TlZn3 structure. Source: Alexandria, functional PBE.

Values from the calculation:
The value obtained for the formation energy from the elements is -202 meV/atom.

Cell lengths 3.2819, 3.2819, 14.6789 Å; angles 90.00, 90.00, 90.00 degrees
Closest atoms and distances in Å follow each position.
Space group P4/mmm (No. 123)
Symmetry-distinct sites (fractional):
Zr: 0.0000 0.0000 0.1168 [2 per cell]  8 Zn 2.89
Zr: 0.0000 0.0000 0.3539 [2 per cell]  4 Zn 2.91, 4 Tl 3.16
Tl: 0.5000 0.5000 0.5000 [1 per cell]  8 Zr 3.16, 4 Tl 3.28
Zn: 0.5000 0.5000 0.0000 [1 per cell]  8 Zr 2.89
Zn: 0.5000 0.5000 0.2342 [2 per cell]  8 Zr 2.89-2.91

9.
A geometry-optimized PuAgHg structure. Source: Alexandria, functional PBE.

Values from the calculation:
The value obtained for the formation energy from the elements is -17 meV/atom. The calculation puts the excess energy over the best structure of this formula in the dataset at 0.105 eV per atom.

Cell lengths 3.0868, 15.9187, 5.6568 Å; angles 90.00, 90.00, 90.00 degrees
Closest atoms and distances in Å follow each position.
Space group Amm2 (No. 38)
Symmetry-distinct sites (fractional):
Pu: 0.0000 0.1770 0.0000 [4 per cell]  2 Pu 3.09, 6 Hg 3.26-3.29, 3 Ag 3.26-3.33
Ag: 0.0000 0.0000 0.7086 [2 per cell]  4 Ag 2.97-3.09, 4 Hg 2.98, 2 Pu 3.26
Ag: 0.5000 0.0000 0.1562 [2 per cell]  4 Ag 2.97-3.09, 2 Hg 2.97
Hg: 0.5000 0.1417 0.4969 [4 per cell]  3 Ag 2.97-2.98, 2 Hg 3.09, 6 Pu 3.26-3.29

10.
A geometry-optimized TmLuInNi structure. Source: Alexandria, functional PBE.

Values from the calculation:
The value obtained for the formation energy from the elements is -339 meV/atom.

Cell lengths 7.0754, 7.0754, 7.0754 Å; angles 90.00, 90.00, 90.00 degrees
Closest atoms and distances in Å follow each position.
Space group F-43m (No. 216)
Symmetry-distinct sites (fractional):
Tm: 0.0000 0.0000 0.0000 [4 per cell]  4 Ni 3.06, 4 In 3.06
Lu: 0.0000 0.0000 0.5000 [4 per cell]  4 In 3.06, 4 Ni 3.06
In: 0.2500 0.2500 0.7500 [4 per cell]  4 Tm 3.06, 4 Lu 3.06
Ni: 0.2500 0.2500 0.2500 [4 per cell]  4 Tm 3.06, 4 Lu 3.06

11.
A geometry-optimized Ba2SrAl2 structure. Source: Alexandria, functional PBE.

Values from the calculation:
The value obtained for the formation energy from the elements is -54 meV/atom. The calculation puts the excess energy over the best structure of this formula in the dataset at 0.000 eV per atom.

Cell lengths 8.8291, 8.8291, 5.2436 Å; angles 90.00, 90.00, 90.00 degrees
Closest atoms and distances in Å follow each position.
Space group P4/mbm (No. 127)
Symmetry-distinct sites (fractional):
Ba: 0.1769 0.3231 0.0000 [4 per cell]  6 Al 3.67-3.79
Sr: 0.0000 0.0000 0.5000 [2 per cell]  4 Al 3.61
Al: 0.1040 0.6040 0.5000 [4 per cell]  1 Al 2.60

12.
A geometry-optimized Sm5Ho2Th2 structure. Source: Alexandria, functional PBE.

Values from the calculation:
The value obtained for the formation energy from the elements is 292 meV/atom.

Cell lengths 23.5689, 3.4947, 8.2824 Å; angles 90.00, 103.94, 90.00 degrees
Closest atoms and distances in Å follow each position.
Space group C2/m (No. 12)
Symmetry-distinct sites (fractional):
Sm: 0.0000 0.0000 0.0000 [2 per cell]  4 Sm 3.37-3.49, 4 Th 3.50, 2 Ho 3.61
Sm: 0.0917 0.0000 0.7438 [4 per cell]  5 Sm 3.37-3.60, 4 Th 3.46-3.71, 1 Ho 3.68
Sm: 0.1975 0.5000 0.5727 [4 per cell]  1 Th 3.45, 6 Sm 3.47-3.60, 3 Ho 3.50-3.55
Ho: 0.1544 0.0000 0.1966 [4 per cell]  2 Ho 3.49, 5 Sm 3.50-3.68, 2 Th 3.58
Th: 0.0510 0.5000 0.3732 [4 per cell]  7 Sm 3.45-3.71, 3 Th 3.49-3.55, 2 Ho 3.58

13.
A geometry-optimized BeGeRu2 structure. Source: Alexandria, functional PBE.

Values from the calculation:
The value obtained for the formation energy from the elements is -236 meV/atom. The calculation puts the excess energy over the best structure of this formula in the dataset at 0.046 eV per atom.

Cell lengths 4.1256, 4.1256, 2.9442 Å; angles 90.00, 90.00, 90.00 degrees
Closest atoms and distances in Å follow each position.
Space group P4/mmm (No. 123)
Symmetry-distinct sites (fractional):
Be: 0.0000 0.0000 0.0000 [1 per cell]  8 Ru 2.53
Ge: 0.5000 0.5000 0.0000 [1 per cell]  8 Ru 2.53
Ru: 0.0000 0.5000 0.5000 [2 per cell]  4 Ge 2.53, 4 Be 2.53

14.
A geometry-optimized Pa2BCl structure. Source: Alexandria, functional PBE.

Values from the calculation:
The uncorrected formation energy comes out at -2.45 eV per formula unit.

Cell lengths 3.8079, 3.8079, 19.2227 Å; angles 90.00, 90.00, 120.00 degrees
Closest atoms and distances in Å follow each position.
Space group R-3m (No. 166, hexagonal axes)
Symmetry-distinct sites (fractional):
Pa: 0.0000 0.0000 0.2376 [6 per cell]  3 B 2.59, 3 Cl 2.87
B: 0.0000 0.0000 0.5000 [3 per cell]  6 Pa 2.59
Cl: 0.0000 0.0000 0.0000 [3 per cell]  6 Pa 2.87

Values of ρ, in order: 5.9; 3.6; 12.4; 10.2; 6.1; 10.0; 8.8; 8.0; 13.2; 9.7; 3.4; 7.8; 9.4; 10.5, all in Mg/m³.
Values of magnetic moment, in order: 0.00; 0.00; 21.46; 4.72; 0.00; 5.87; 0.00; 0.00; 24.40; 0.00; 1.52; 0.00; 0.00; 0.00, all in μB/cell.
Values of D(E_F), in order: 8.90; 5.07; 45.32; 7.49; 11.40; 9.86; 1.56; 4.24; 30.03; 15.28; 14.16; 28.98; 3.02; 11.06, all in states/eV per cell.